1.
Computed, not measured: a relaxed CdAg6Te4 crystal at the GGA-PBE level of DFT.

```
data_CdAg6Te4
_cell_length_a 7.0734
_cell_length_b 7.0734
_cell_length_c 7.4613
_cell_angle_alpha 61.73
_cell_angle_beta 61.73
_cell_angle_gamma 90.01
_symmetry_space_group_name_H-M 'P 1'
_symmetry_Int_Tables_number 1
loop_
_symmetry_equiv_pos_as_xyz
'x,y,z'
loop_
_atom_site_label
_atom_site_type_symbol
_atom_site_fract_x
_atom_site_fract_y
_atom_site_fract_z
Cd1 Cd 0.0003 0.0003 0.0004
Ag1 Ag 0.4616 0.7552 0.7830
Ag2 Ag 0.7552 0.4616 0.7830
Ag3 Ag 0.5386 0.5386 0.2163
Ag4 Ag 0.0001 0.4998 0.9999
Ag5 Ag 0.2443 0.2443 0.2172
Ag6 Ag 0.4998 0.0001 0.9999
Te1 Te 0.6096 0.0963 0.2941
Te2 Te 0.9038 0.9038 0.7064
Te3 Te 0.0963 0.6096 0.2941
Te4 Te 0.3905 0.3905 0.7055
```

**Total DFT energy (no corrections)**: -31.5 eV per formula unit
**Energy relative to the elements, uncorrected**: -0.082 eV per atom
**D(E_F)**: 1.712 states/eV per cell
**M_tot**: 0.000 μB/f.u.

***

2.
Computed, not measured: a relaxed Cd2Ag2Te crystal at the GGA-PBE level of DFT.

```
data_Cd2Ag2Te
_cell_length_a 8.5315
_cell_length_b 8.5315
_cell_length_c 3.1079
_cell_angle_alpha 90.00
_cell_angle_beta 90.00
_cell_angle_gamma 90.00
_symmetry_space_group_name_H-M 'P 1'
_symmetry_Int_Tables_number 1
loop_
_symmetry_equiv_pos_as_xyz
'x,y,z'
loop_
_atom_site_label
_atom_site_type_symbol
_atom_site_fract_x
_atom_site_fract_y
_atom_site_fract_z
Te1 Te 0.0000 0.0000 0.0000
Te2 Te 0.5000 0.5000 0.0000
Ag1 Ag 0.1174 0.6174 0.5000
Ag2 Ag 0.6174 0.8826 0.5000
Ag3 Ag 0.8826 0.3826 0.5000
Ag4 Ag 0.3826 0.1174 0.5000
Cd1 Cd 0.3223 0.8223 0.0000
Cd2 Cd 0.8223 0.6777 0.0000
Cd3 Cd 0.6777 0.1777 0.0000
Cd4 Cd 0.1777 0.3223 0.0000
```

**Total DFT energy (no corrections)**: -10.4 eV per formula unit
**Energy relative to the elements, uncorrected**: 0.055 eV per atom
**D(E_F)**: 2.319 states/eV per cell
**M_tot**: 0.000 μB/f.u.
**E above lowest polymorph**: 5.24 kJ per mole of atoms

***

3.
Computed, not measured: a relaxed Cd2AgTe crystal at the GGA-PBE level of DFT.

```
data_Cd2AgTe
_cell_length_a 5.8726
_cell_length_b 5.8726
_cell_length_c 5.8726
_cell_angle_alpha 136.52
_cell_angle_beta 136.36
_cell_angle_gamma 63.30
_symmetry_space_group_name_H-M 'P 1'
_symmetry_Int_Tables_number 1
loop_
_symmetry_equiv_pos_as_xyz
'x,y,z'
loop_
_atom_site_label
_atom_site_type_symbol
_atom_site_fract_x
_atom_site_fract_y
_atom_site_fract_z
Te1 Te 0.2500 0.7500 0.5000
Ag1 Ag 0.7500 0.2500 0.5000
Cd1 Cd 0.9999 0.9999 0.0000
Cd2 Cd 0.5001 0.5001 0.0000
```

**Total DFT energy (no corrections)**: -7.5 eV per formula unit
**Energy relative to the elements, uncorrected**: 0.072 eV per atom
**D(E_F)**: 1.272 states/eV per cell
**M_tot**: 0.000 μB/f.u.

***

4.
Computed, not measured: a relaxed Cd2AgTe crystal at the GGA-PBE level of DFT.

```
data_Cd2AgTe
_cell_length_a 6.8123
_cell_length_b 6.8123
_cell_length_c 6.8123
_cell_angle_alpha 37.37
_cell_angle_beta 37.37
_cell_angle_gamma 37.37
_symmetry_space_group_name_H-M 'P 1'
_symmetry_Int_Tables_number 1
loop_
_symmetry_equiv_pos_as_xyz
'x,y,z'
loop_
_atom_site_label
_atom_site_type_symbol
_atom_site_fract_x
_atom_site_fract_y
_atom_site_fract_z
Te1 Te 0.4918 0.4918 0.4918
Ag1 Ag 0.7497 0.7497 0.7497
Cd1 Cd 0.0075 0.0075 0.0075
Cd2 Cd 0.2509 0.2509 0.2509
```

**Total DFT energy (no corrections)**: -7.8 eV per formula unit
**Energy relative to the elements, uncorrected**: -0.006 eV per atom
**D(E_F)**: 1.035 states/eV per cell
**M_tot**: 0.000 μB/f.u.

***

What is the energy relative to the elements, uncorrected in the first record?
-0.082 eV per atom

***

Repeat the first record exactly.
Computed, not measured: a relaxed CdAg6Te4 crystal at the GGA-PBE level of DFT.

```
data_CdAg6Te4
_cell_length_a 7.0734
_cell_length_b 7.0734
_cell_length_c 7.4613
_cell_angle_alpha 61.73
_cell_angle_beta 61.73
_cell_angle_gamma 90.01
_symmetry_space_group_name_H-M 'P 1'
_symmetry_Int_Tables_number 1
loop_
_symmetry_equiv_pos_as_xyz
'x,y,z'
loop_
_atom_site_label
_atom_site_type_symbol
_atom_site_fract_x
_atom_site_fract_y
_atom_site_fract_z
Cd1 Cd 0.0003 0.0003 0.0004
Ag1 Ag 0.4616 0.7552 0.7830
Ag2 Ag 0.7552 0.4616 0.7830
Ag3 Ag 0.5386 0.5386 0.2163
Ag4 Ag 0.0001 0.4998 0.9999
Ag5 Ag 0.2443 0.2443 0.2172
Ag6 Ag 0.4998 0.0001 0.9999
Te1 Te 0.6096 0.0963 0.2941
Te2 Te 0.9038 0.9038 0.7064
Te3 Te 0.0963 0.6096 0.2941
Te4 Te 0.3905 0.3905 0.7055
```

**Total DFT energy (no corrections)**: -31.5 eV per formula unit
**Energy relative to the elements, uncorrected**: -0.082 eV per atom
**D(E_F)**: 1.712 states/eV per cell
**M_tot**: 0.000 μB/f.u.

***

What is the M_tot in the first record?
0.000 μB/f.u.

***

What did the third record say?
Computed, not measured: a relaxed Cd2AgTe crystal at the GGA-PBE level of DFT.

```
data_Cd2AgTe
_cell_length_a 5.8726
_cell_length_b 5.8726
_cell_length_c 5.8726
_cell_angle_alpha 136.52
_cell_angle_beta 136.36
_cell_angle_gamma 63.30
_symmetry_space_group_name_H-M 'P 1'
_symmetry_Int_Tables_number 1
loop_
_symmetry_equiv_pos_as_xyz
'x,y,z'
loop_
_atom_site_label
_atom_site_type_symbol
_atom_site_fract_x
_atom_site_fract_y
_atom_site_fract_z
Te1 Te 0.2500 0.7500 0.5000
Ag1 Ag 0.7500 0.2500 0.5000
Cd1 Cd 0.9999 0.9999 0.0000
Cd2 Cd 0.5001 0.5001 0.0000
```

**Total DFT energy (no corrections)**: -7.5 eV per formula unit
**Energy relative to the elements, uncorrected**: 0.072 eV per atom
**D(E_F)**: 1.272 states/eV per cell
**M_tot**: 0.000 μB/f.u.